This record from the Alexandria database describes GaPt2F after structural relaxation. The functional is PBE-GGA.

raw formation energy: -430 meV/atom
crystal system: tetragonal
energy above the most stable polymorph in this dataset: 0.044 eV per atom

Lattice parameters (Å, degrees): 7.9361 7.9361 4.4322 90.00 90.00 90.00
Closest atoms and distances in Å follow each position.
Space group I-42d (No. 122)
One atom of each set of equivalent atoms:
1 Ga 0.0000 0.0000 0.0000 x4  2 F 2.22
2 Pt 0.1788 0.2500 0.1250 x8  2 Pt 2.49, 2 Ga 2.50
3 F 0.0000 0.0000 0.5000 x4  2 Ga 2.22

=====

This record from the Alexandria database describes LiZn2Mo after structural relaxation. The functional is PBE-GGA.

formation enthalpy at 0 K: 105 meV/atom
crystal system: tetragonal
energy above the most stable polymorph in this dataset: 0.118 eV per atom

Lattice parameters (Å, degrees): 3.9718 3.9718 3.6314 90.00 90.00 90.00
Closest atoms and distances in Å follow each position.
Space group P4/mmm (No. 123)
One atom of each set of equivalent atoms:
1 Li 0.0000 0.0000 0.0000 x1  8 Zn 2.69, 4 Mo 2.81
2 Zn 0.0000 0.5000 0.5000 x2  4 Mo 2.69, 4 Li 2.69, 4 Zn 2.81
3 Mo 0.5000 0.5000 0.0000 x1  8 Zn 2.69, 4 Li 2.81

=====

This record from the Alexandria database describes YHg after structural relaxation. The functional is PBE-GGA.

formation enthalpy at 0 K: -150 meV/atom
crystal system: tetragonal

Lattice parameters (Å, degrees): 11.4525 11.4525 3.6059 90.00 90.00 90.00
Closest atoms and distances in Å follow each position.
Space group P4/m (No. 83)
One atom of each set of equivalent atoms:
1 Y 0.1096 0.6315 0.0000 x4  4 Hg 3.19-3.33
2 Y 0.1600 0.3628 0.5000 x4  4 Hg 3.07-3.12
3 Hg 0.0824 0.1601 0.0000 x4  2 Hg 2.92, 3 Y 3.07-3.25
4 Hg 0.3306 0.5696 0.5000 x4  2 Hg 2.97, 4 Y 3.07-3.19

=====

This record from the Alexandria database describes LaPuRh after structural relaxation. The functional is PBE-GGA.

formation enthalpy at 0 K: -380 meV/atom
crystal system: triclinic
energy above the most stable polymorph in this dataset: 0.051 eV per atom

Lattice parameters (Å, degrees): 3.7629 6.1052 7.2598 114.78 105.02 90.14
Closest atoms and distances in Å follow each position.
Space group P-1 (No. 2)
One atom of each set of equivalent atoms:
1 La 0.2119 0.2114 0.4232 x2  2 Rh 2.90
2 Pu 0.4990 0.2041 0.9998 x2  1 Pu 2.49
3 Rh 0.1131 0.6118 0.2272 x2  1 Rh 2.87, 2 La 2.90, 4 Pu 2.97-2.98

=====

This record from the Alexandria database describes KInPb3 after structural relaxation. The functional is PBE-GGA.

formation enthalpy at 0 K: 71 meV/atom
crystal system: orthorhombic
energy above the most stable polymorph in this dataset: 0.140 eV per atom

Lattice parameters (Å, degrees): 6.1806 9.5451 28.5736 90.00 90.00 90.00
Closest atoms and distances in Å follow each position.
Space group F222 (No. 22)
One atom of each set of equivalent atoms:
1 K 0.0000 0.0000 0.0000 x4  4 Pb 3.59
2 K 0.2500 0.2500 0.2500 x4  4 In 3.41
3 In 0.2500 0.2500 0.6992 x8  1 In 2.90, 4 Pb 3.08-3.19
4 Pb 0.0000 0.0000 0.3517 x8  2 In 3.19, 4 Pb 3.33-3.54
5 Pb 0.0173 0.1679 0.1125 x16  1 In 3.08, 3 Pb 3.21-3.33

=====

This record from the Alexandria database describes SrLa5In3 after structural relaxation. The functional is PBE-GGA.

formation enthalpy at 0 K: -367 meV/atom
crystal system: hexagonal

Lattice parameters (Å, degrees): 9.8181 9.8181 7.1716 90.00 90.00 120.00
Closest atoms and distances in Å follow each position.
Space group P6_3/mcm (No. 193)
One atom of each set of equivalent atoms:
1 Sr 0.0000 0.0000 0.0000 x2  2 Sr 3.59, 6 In 3.70, 6 La 3.79
2 La 0.0000 0.3401 0.2500 x6  5 In 3.25-3.59
3 La 0.3333 0.6667 0.0000 x4  8 La 3.59-3.70, 6 In 3.75
4 In 0.0000 0.3293 0.7500 x6  5 La 3.25-3.59

=====

This record from the Alexandria database describes Ce2TeSe after structural relaxation. The functional is PBE-GGA.

raw formation energy: -1535 meV/atom
crystal system: tetragonal
energy above the most stable polymorph in this dataset: 0.049 eV per atom

Lattice parameters (Å, degrees): 4.3588 4.3588 6.1659 90.00 90.00 90.00
Closest atoms and distances in Å follow each position.
Space group P4/mmm (No. 123)
One atom of each set of equivalent atoms:
1 Ce 0.0000 0.0000 0.0000 x1  4 Se 3.08, 2 Te 3.08
2 Ce 0.5000 0.5000 0.5000 x1  4 Te 3.08, 2 Se 3.08
3 Te 0.0000 0.0000 0.5000 x1  6 Ce 3.08
4 Se 0.5000 0.5000 0.0000 x1  6 Ce 3.08

=====

This record from the Alexandria database describes CeErIr2 after structural relaxation. The functional is PBE-GGA.

formation enthalpy at 0 K: -706 meV/atom
crystal system: monoclinic

Lattice parameters (Å, degrees): 11.7353 5.5771 5.6401 90.00 107.13 90.00
Closest atoms and distances in Å follow each position.
Space group C2/m (No. 12)
One atom of each set of equivalent atoms:
1 Ce 0.1414 0.0000 0.4258 x4  6 Ir 2.83-2.88
2 Er 0.1462 0.5000 0.9533 x4  6 Ir 2.85-3.07
3 Ir 0.0972 0.0000 0.8964 x4  3 Er 2.85-2.88, 3 Ce 2.85-2.88, 1 Ir 2.85
4 Ir 0.1023 0.5000 0.4263 x4  1 Ir 2.76, 3 Ce 2.83-2.87, 3 Er 2.86-3.07